Record 1
DFT (PBE-GGA) results for CsVFe2Br8 after structural relaxation.

**Formation energy (no corrections)**: -0.77 eV/atom
**Space-group type**: C2/m

Cell: 6.6723 6.6723 10.3133 Å, 83.62 83.62 67.94°
Atoms (fractional coordinates):
V: 0.0000 0.0000 0.0000
Br: 0.2659 0.7774 0.8148
Br: 0.3208 0.3208 0.5963
Br: 0.2336 0.2336 0.0014
Br: 0.7341 0.2226 0.1852
Br: 0.6792 0.6792 0.4037
Br: 0.7774 0.2659 0.8148
Br: 0.7664 0.7664 0.9986
Br: 0.2226 0.7341 0.1852
Fe: 0.3820 0.3820 0.8069
Fe: 0.6180 0.6180 0.1931
Cs: 0.0000 0.0000 0.5000

Record 2
DFT (PBE-GGA) results for Li3Ho2Zn4 after structural relaxation.

**Space-group type**: Cmce
**Energy relative to the elements**: -0.17 eV/atom

Cell: 5.5465 7.9912 8.1002 Å, 90.00 110.02 90.00°
Atoms (fractional coordinates):
Ho: 0.8881 0.4122 0.7762
Ho: 0.3881 0.0878 0.7762
Ho: 0.1119 0.5878 0.2238
Ho: 0.6119 0.9122 0.2238
Li: 0.0000 0.0000 0.0000
Li: 0.9702 0.2500 0.4405
Li: 0.0298 0.7500 0.5595
Li: 0.5000 0.5000 0.0000
Li: 0.4702 0.2500 0.4405
Li: 0.5298 0.7500 0.5595
Zn: 0.1813 0.9720 0.3626
Zn: 0.6813 0.5280 0.3626
Zn: 0.8187 0.0280 0.6374
Zn: 0.3035 0.2500 0.1071
Zn: 0.6965 0.7500 0.8929
Zn: 0.3187 0.4720 0.6374
Zn: 0.8035 0.2500 0.1071
Zn: 0.1965 0.7500 0.8929

Record 3
DFT (PBE-GGA) results for VCrB after structural relaxation.

**Space-group type**: P-1
**Energy relative to the elements**: -0.17 eV/atom

Cell: 2.4389 4.0189 6.3100 Å, 97.29 97.50 91.65°
Atoms (fractional coordinates):
V: 0.9444 0.1802 0.1903
V: 0.0556 0.8198 0.8097
B: 0.5675 0.6628 0.1073
B: 0.4325 0.3372 0.8927
Cr: 0.6940 0.2679 0.5882
Cr: 0.3060 0.7321 0.4118

Record 4
DFT (PBE-GGA) results for MgTaAs2 after structural relaxation.

**Space-group type**: Cmm2
**Energy relative to the elements**: 0.04 eV/atom

Cell: 2.9103 2.9103 9.8893 Å, 90.00 90.00 104.04°
Atoms (fractional coordinates):
Mg: 0.0000 0.0000 0.5061
Ta: 0.5000 0.5000 0.7464
As: 0.5000 0.5000 0.2977
As: 0.0000 0.0000 0.9498

no.,total magnetic moment (μB per cell),Fermi-level density of states (states/eV/atom)
1,11.1,1.55
2,0.0,0.60
3,0.0,0.51
4,0.0,0.70